Here is an optimized crystal structure of MoPt2Pb from Alexandria via LeMat-Bulk. Energies are from GGA-PBE.

POSCAR file:
```
MoPt2Pb
1.0
9.674 0.037 0.022
9.205 2.977 0.022
9.205 1.470 2.589
Pb Pt Mo
1 2 1
Direct
0.749 0.749 0.749 Pb
0.247 0.247 0.247 Pt
0.994 0.994 0.994 Pt
0.509 0.509 0.509 Mo
```

DFT formation energy = 0.30 eV/atom
space-group type = No. 160
electronic total energy = -6.36 eV per atom